A plane-wave DFT calculation with PBE-GGA was carried out for a relaxed Ac12Tl3H5 crystal.

Calculated volume ... 32.76 Å³ per atom
Total moment ... 0.00 μB per formula unit
Raw total energy ... -3.8397 eV/atom
DOS at the Fermi energy ... 100.22 states/eV per cell

Lattice parameters (Å, degrees): 15.043 15.043 15.043 109.47 109.47 109.47
Fractional positions:
1 Ac 0.016 0.207 0.111
2 Ac 0.016 0.309 0.905
3 Ac 0.095 0.611 0.404
4 Ac 0.095 0.984 0.691
5 Ac 0.096 0.707 0.691
6 Ac 0.096 0.889 0.405
7 Ac 0.111 0.016 0.207
8 Ac 0.111 0.595 0.904
9 Ac 0.191 0.207 0.596
10 Ac 0.191 0.484 0.595
11 Ac 0.207 0.111 0.016
12 Ac 0.207 0.596 0.191
13 Ac 0.293 0.309 0.904
14 Ac 0.293 0.484 0.389
15 Ac 0.309 0.904 0.293
16 Ac 0.309 0.905 0.016
17 Ac 0.389 0.293 0.484
18 Ac 0.389 0.596 0.905
19 Ac 0.404 0.095 0.611
20 Ac 0.404 0.809 0.793
21 Ac 0.405 0.096 0.889
22 Ac 0.405 0.809 0.516
23 Ac 0.484 0.389 0.293
24 Ac 0.484 0.595 0.191
25 Ac 0.516 0.405 0.809
26 Ac 0.516 0.611 0.707
27 Ac 0.595 0.191 0.484
28 Ac 0.595 0.904 0.111
29 Ac 0.596 0.191 0.207
30 Ac 0.596 0.905 0.389
31 Ac 0.611 0.404 0.095
32 Ac 0.611 0.707 0.516
33 Ac 0.691 0.095 0.984
34 Ac 0.691 0.096 0.707
35 Ac 0.707 0.516 0.611
36 Ac 0.707 0.691 0.096
37 Ac 0.793 0.404 0.809
38 Ac 0.793 0.889 0.984
39 Ac 0.809 0.516 0.405
40 Ac 0.809 0.793 0.404
41 Ac 0.889 0.405 0.096
42 Ac 0.889 0.984 0.793
43 Ac 0.904 0.111 0.595
44 Ac 0.904 0.293 0.309
45 Ac 0.905 0.016 0.309
46 Ac 0.905 0.389 0.596
47 Ac 0.984 0.691 0.095
48 Ac 0.984 0.793 0.889
49 Tl 0.125 0.250 0.375
50 Tl 0.125 0.375 0.750
51 Tl 0.250 0.375 0.125
52 Tl 0.250 0.875 0.625
53 Tl 0.375 0.125 0.250
54 Tl 0.375 0.750 0.125
55 Tl 0.625 0.250 0.875
56 Tl 0.625 0.875 0.750
57 Tl 0.750 0.125 0.375
58 Tl 0.750 0.625 0.875
59 Tl 0.875 0.625 0.250
60 Tl 0.875 0.750 0.625
61 H 0.000 0.000 0.000
62 H 0.000 0.000 0.500
63 H 0.000 0.500 0.000
64 H 0.000 0.500 0.500
65 H 0.125 0.750 0.875
66 H 0.125 0.875 0.250
67 H 0.250 0.125 0.875
68 H 0.250 0.625 0.375
69 H 0.375 0.250 0.625
70 H 0.375 0.625 0.750
71 H 0.500 0.000 0.000
72 H 0.500 0.000 0.500
73 H 0.500 0.500 0.000
74 H 0.500 0.500 0.500
75 H 0.625 0.375 0.250
76 H 0.625 0.750 0.375
77 H 0.750 0.375 0.625
78 H 0.750 0.875 0.125
79 H 0.875 0.125 0.750
80 H 0.875 0.250 0.125


A plane-wave DFT calculation with PBE-GGA was carried out for a relaxed Ac2TlH2 crystal.

Calculated volume ... 24.15 Å³ per atom
Total moment ... 0.00 μB per formula unit
Raw total energy ... -3.9600 eV/atom
DOS at the Fermi energy ... 5.39 states/eV per cell

Lattice parameters (Å, degrees): 4.200 4.200 13.688 90.00 90.00 90.00
Fractional positions:
1 Ac 0.000 0.000 0.147
2 Ac 0.000 0.000 0.853
3 Ac 0.500 0.500 0.353
4 Ac 0.500 0.500 0.647
5 Tl 0.000 0.000 0.500
6 Tl 0.500 0.500 0.000
7 H 0.000 0.500 0.250
8 H 0.000 0.500 0.750
9 H 0.500 0.000 0.250
10 H 0.500 0.000 0.750


A plane-wave DFT calculation with PBE-GGA was carried out for a relaxed Ac3TlH crystal.

Calculated volume ... 32.05 Å³ per atom
Total moment ... 0.00 μB per formula unit
Raw total energy ... -3.8671 eV/atom
DOS at the Fermi energy ... 14.69 states/eV per cell
Offset from the most stable computed form ... 0.000 eV per atom

Lattice parameters (Å, degrees): 9.649 4.073 16.309 90.00 90.00 90.00
Fractional positions:
1 Ac 0.018 0.250 0.103
2 Ac 0.170 0.250 0.515
3 Ac 0.178 0.750 0.312
4 Ac 0.322 0.250 0.812
5 Ac 0.330 0.750 0.015
6 Ac 0.482 0.750 0.603
7 Ac 0.518 0.250 0.397
8 Ac 0.670 0.250 0.985
9 Ac 0.678 0.750 0.188
10 Ac 0.822 0.250 0.688
11 Ac 0.830 0.750 0.485
12 Ac 0.982 0.750 0.897
13 Tl 0.121 0.750 0.685
14 Tl 0.379 0.250 0.185
15 Tl 0.621 0.750 0.815
16 Tl 0.879 0.250 0.315
17 H 0.165 0.250 0.952
18 H 0.335 0.750 0.452
19 H 0.665 0.250 0.548
20 H 0.835 0.750 0.048